VASP calculation (GGA+U) on an optimized crystal structure of Ba3CrTe2O8.

Results
For the density of states at the Fermi level, the calculation gives 0.14 states/eV per atom. Its total energy is -83.1 eV per formula unit. Its density is 5.67 g/cm³.

a b c (Å): 5.9796 5.9796 8.0071
angles (deg): 90.00 90.00 120.00
Last column: nearest neighbours and their distance in Å.
Fractional positions:
O  0.8382  0.1618  0.6660  1 Te 2.07, 1 Cr 2.14
Te  0.3333  0.6667  0.2025  4 O 2.04-2.07
O  0.1618  0.3236  0.3340  1 Te 2.07, 1 Cr 2.14
Ba  0.0000  0.0000  0.0000  12 O 3.16-3.48
Ba  0.3333  0.6667  0.6346  1 O 2.51
Ba  0.6667  0.3333  0.3654  1 O 2.51
O  0.1618  0.8382  0.3340  1 Te 2.07, 1 Cr 2.14
O  0.6764  0.8382  0.3340  1 Te 2.07, 1 Cr 2.14
O  0.3236  0.1618  0.6660  1 Te 2.07, 1 Cr 2.14
O  0.8382  0.6764  0.6660  1 Te 2.07, 1 Cr 2.14
O  0.6667  0.3333  0.0522  1 Te 2.04
Te  0.6667  0.3333  0.7975  4 O 2.04-2.07
Cr  0.0000  0.0000  0.5000  6 O 2.14
O  0.3333  0.6667  0.9478  1 Te 2.04